# Pm2B2O5 (GGA-PBE, optimized geometry)
data_Pm2B2O5
_cell_length_a 3.598
_cell_length_b 3.598
_cell_length_c 6.872
_cell_angle_alpha 90.00
_cell_angle_beta 90.00
_cell_angle_gamma 90.00
_symmetry_space_group_name_H-M 'P 4/m m m'
_symmetry_Int_Tables_number 123
_symmetry_space_group_name_Hall '-P 4 2'
loop_
_atom_site_label
_atom_site_fract_x
_atom_site_fract_y
_atom_site_fract_z
Pm1 0.000 0.000 0.000
Pm2 0.000 0.000 0.500
B1 0.500 0.500 0.226
O1 0.000 0.500 0.250
O2 0.500 0.500 0.000
# - M_tot: 0.0 μB per cell
# - Relative energy among the computed polymorphs: 0 meV per atom